No. 1
VASP calculation (GGA-PBE) on a geometry-optimized RbLiBi2 structure.

Unit cell a=4.061 b=4.061 c=8.094 alpha=90.00 beta=90.00 gamma=90.00
Space group P4/mmm (No. 123)
Inequivalent atoms, fractional coordinates:
Rb1 0.000 0.000 0.000 [1 per cell]
Li1 0.000 0.000 0.500 [1 per cell]
Bi1 0.500 0.500 0.319 [2 per cell]

Calculated values
The energy of formation from the pure elements comes out at -266 meV per atom. For the total energy, the calculation gives -2.927 eV per atom. For the density of states at the Fermi level, the calculation gives 2.47 states/eV/f.u.



No. 2
VASP calculation (GGA-PBE) on a geometry-optimized Pr6Zn2Ga structure.

Unit cell a=10.125 b=10.263 c=10.280 alpha=90.00 beta=90.00 gamma=90.00
Space group Immm (No. 71)
Inequivalent atoms, fractional coordinates:
Pr1 0.000 0.178 0.237 [8 per cell]
Pr2 0.177 0.500 0.276 [8 per cell]
Pr3 0.250 0.199 0.500 [8 per cell]
Zn1 0.000 0.369 0.500 [4 per cell]
Zn2 0.126 0.000 0.000 [4 per cell]
Ga1 0.000 0.000 0.500 [2 per cell]
Ga2 0.000 0.500 0.000 [2 per cell]

Calculated values
The energy of formation from the pure elements comes out at -211 meV per atom. For the total energy, the calculation gives -4.017 eV per atom. For the density of states at the Fermi level, the calculation gives 11.64 states/eV/f.u.



No. 3
VASP calculation (GGA-PBE) on a geometry-optimized SrIr2 structure.

Unit cell a=5.697 b=4.287 c=11.507 alpha=90.00 beta=90.00 gamma=90.00
Space group Pnma (No. 62)
Inequivalent atoms, fractional coordinates:
Sr1 0.114 0.250 0.138 [4 per cell]
Ir1 0.109 0.250 0.456 [4 per cell]
Ir2 0.129 0.750 0.348 [4 per cell]

Calculated values
The energy of formation from the pure elements comes out at 97 meV per atom. For the total energy, the calculation gives -6.370 eV per atom. For the density of states at the Fermi level, the calculation gives 3.56 states/eV/f.u.